(1)
{"formula": "NaAsRhO6", "functional": "PBE", "state": "optimized geometry", "cell": [[-1.899, 3.852, -2.680], [-3.092, -3.531, 1.896], [-1.018, 5.598, 8.766]], "species": ["Na", "Na", "As", "As", "Rh", "Rh", "O", "O", "O", "O", "O", "O", "O", "O", "O", "O", "O", "O"], "fractional_positions": [[0.000, 0.000, 0.000], [0.000, 0.000, 0.500], [0.667, 0.333, 0.250], [0.333, 0.667, 0.750], [0.333, 0.667, 0.250], [0.667, 0.333, 0.750], [0.634, 0.621, 0.150], [0.986, 0.366, 0.150], [0.366, 0.986, 0.650], [0.014, 0.634, 0.850], [0.379, 0.366, 0.350], [0.986, 0.621, 0.350], [0.621, 0.986, 0.850], [0.634, 0.014, 0.350], [0.014, 0.379, 0.650], [0.379, 0.014, 0.150], [0.621, 0.634, 0.650], [0.366, 0.379, 0.850]], "formation_energy_uncorrected_ev_per_atom": -0.9445, "total_energy_ev_per_atom": -5.7300, "n_ef_per_ev_cell": 13.33, "spacegroup": "P-31c (163)", "density_g_cm3": 4.25}

(2)
{"formula": "ScFe2B2", "functional": "PBE", "state": "optimized geometry", "cell": [[5.988, 0.000, 0.000], [0.000, 5.988, 0.000], [0.000, 0.000, 2.789]], "species": ["Sc", "Sc", "B", "B", "B", "B", "Fe", "Fe", "Fe", "Fe"], "fractional_positions": [[0.000, 0.000, 0.000], [0.500, 0.500, 0.000], [0.393, 0.893, 0.000], [0.893, 0.607, 0.000], [0.607, 0.107, 0.000], [0.107, 0.393, 0.000], [0.160, 0.660, 0.500], [0.660, 0.840, 0.500], [0.840, 0.340, 0.500], [0.340, 0.160, 0.500]], "total_energy_ev_per_atom": -7.5031, "n_ef_per_ev_cell": 3.81, "ef_ev_per_atom": -0.181, "spacegroup": "P4/mbm (127)", "density_g_cm3": 5.92}

(3)
{"formula": "Mg2FeHPd", "functional": "PBE", "state": "optimized geometry", "cell": [[-0.093, 0.965, -4.254], [-1.469, -4.013, -0.878], [-3.169, 1.091, 0.317]], "species": ["H", "Mg", "Mg", "Fe", "Pd"], "fractional_positions": [[0.000, 0.000, 0.000], [0.000, 0.500, 0.000], [0.500, 0.000, 0.000], [0.000, 0.000, 0.500], [0.500, 0.500, 0.500]], "total_energy_ev_per_atom": -4.2381, "n_ef_per_ev_cell": 3.64, "spacegroup": "P4/mmm (123)", "density_g_cm3": 5.49}

(4)
{"formula": "CaNdN", "functional": "PBE", "state": "optimized geometry", "cell": [[-2.146, 0.112, -3.779], [-3.267, -2.774, -0.727], [-4.095, 1.451, -0.131]], "species": ["Ca", "Nd", "N"], "fractional_positions": [[0.500, 0.500, 0.500], [0.000, 0.000, 0.000], [0.250, 0.250, 0.250]], "formation_energy_uncorrected_ev_per_atom": -0.2608, "total_energy_ev_per_atom": -5.2924, "n_ef_per_ev_cell": 2.36, "relative_energy_mev_per_atom": 519, "spacegroup": "F-43m (216)", "density_g_cm3": 5.67}

(5)
{"formula": "Rb5ErTe4", "functional": "PBE", "state": "optimized geometry", "cell": [[-0.431, -4.808, 1.468], [9.267, -0.782, 0.158], [-4.357, 5.669, 8.623]], "species": ["Rb", "Rb", "Rb", "Rb", "Rb", "Er", "Te", "Te", "Te", "Te"], "fractional_positions": [[0.826, 0.570, 0.653], [0.827, 0.086, 0.654], [0.173, 0.914, 0.346], [0.500, 0.500, 0.000], [0.174, 0.430, 0.347], [0.500, 0.000, 0.000], [0.335, 0.836, 0.670], [0.000, 0.783, 0.999], [0.665, 0.164, 0.330], [0.000, 0.217, 0.001]], "formation_energy_uncorrected_ev_per_atom": -0.9949, "total_energy_ev_per_atom": -3.1916, "spacegroup": "C2/m (12)", "density_g_cm3": 3.96}

(6)
{"formula": "TbSmPaO6", "functional": "PBE", "state": "optimized geometry", "cell": [[4.687, 0.000, 0.000], [0.000, 5.875, 0.000], [0.000, -2.937, 5.088]], "species": ["Tb", "Sm", "Pa", "O", "O", "O", "O", "O", "O"], "fractional_positions": [[0.500, 0.000, 0.000], [0.500, 0.667, 0.333], [0.000, 0.333, 0.667], [0.747, 0.651, 0.673], [0.747, 0.327, 0.979], [0.747, 0.021, 0.349], [0.253, 0.327, 0.349], [0.253, 0.651, 0.979], [0.253, 0.021, 0.673]], "formation_energy_uncorrected_ev_per_atom": -3.1685, "total_energy_ev_per_atom": -8.5679, "n_ef_per_ev_cell": 9.25, "spacegroup": "P312 (149)", "density_g_cm3": 7.54}

(7)
{"formula": "NdNi2Bi2", "functional": "PBE", "state": "optimized geometry", "cell": [[4.652, 0.000, 0.000], [0.000, 4.652, 0.000], [0.000, 0.000, 10.226]], "species": ["Nd", "Nd", "Ni", "Ni", "Ni", "Ni", "Bi", "Bi", "Bi", "Bi"], "fractional_positions": [[0.500, 0.000, 0.770], [0.000, 0.500, 0.230], [0.500, 0.000, 0.375], [0.000, 0.500, 0.625], [0.000, 0.000, 0.000], [0.500, 0.500, 0.000], [0.500, 0.000, 0.125], [0.000, 0.500, 0.875], [0.000, 0.000, 0.500], [0.500, 0.500, 0.500]], "total_energy_ev_per_atom": -5.1454, "n_ef_per_ev_cell": 5.32, "ef_ev_per_atom": -0.327, "spacegroup": "P4/nmm (129)", "density_g_cm3": 10.20}

(8)
{"formula": "Ca2Ag3PdAu12", "functional": "PBE", "state": "optimized geometry", "cell": [[-5.663, 8.442, 0.289], [-5.618, 5.717, -6.259], [-9.695, 2.810, -1.236]], "species": ["Ca", "Ca", "Ag", "Ag", "Ag", "Pd", "Au", "Au", "Au", "Au", "Au", "Au", "Au", "Au", "Au", "Au", "Au", "Au"], "fractional_positions": [[0.648, 0.648, 0.648], [0.352, 0.352, 0.352], [0.500, 0.000, 0.000], [0.000, 0.500, 0.000], [0.000, 0.000, 0.500], [0.000, 0.000, 0.000], [0.423, 0.423, 0.809], [0.895, 0.895, 0.392], [0.392, 0.895, 0.895], [0.809, 0.423, 0.423], [0.895, 0.392, 0.895], [0.423, 0.809, 0.423], [0.577, 0.577, 0.191], [0.105, 0.105, 0.608], [0.608, 0.105, 0.105], [0.191, 0.577, 0.577], [0.105, 0.608, 0.105], [0.577, 0.191, 0.577]], "total_energy_ev_per_atom": -3.2027, "n_ef_per_ev_cell": 5.29, "ef_ev_per_atom": -0.032, "spacegroup": "R-3m (166)", "density_g_cm3": 11.77}

(9)
{"formula": "Rb2ScTcI6", "functional": "PBE", "state": "optimized geometry", "cell": [[8.072, 0.000, 0.000], [0.000, 8.072, 0.000], [4.036, 4.036, 5.702]], "species": ["I", "I", "I", "I", "I", "I", "Sc", "Tc", "Rb", "Rb"], "fractional_positions": [[0.244, 0.244, 0.512], [0.756, 0.756, 0.488], [0.244, 0.244, 0.000], [0.756, 0.756, 0.000], [0.756, 0.244, 0.000], [0.244, 0.756, 0.000], [0.500, 0.500, 0.000], [0.000, 0.000, 0.000], [0.750, 0.250, 0.500], [0.250, 0.750, 0.500]], "formation_energy_uncorrected_ev_per_atom": -0.7453, "total_energy_ev_per_atom": -3.5386, "n_ef_per_ev_cell": 0.15, "spacegroup": "I4/mmm (139)", "density_g_cm3": 4.81}

(10)
{"formula": "Nd2ThScAs4", "functional": "PBE", "state": "optimized geometry", "cell": [[4.194, 0.000, 0.000], [0.000, 7.209, 0.115], [0.000, -2.530, 6.815]], "species": ["Nd", "Nd", "Th", "Sc", "As", "As", "As", "As"], "fractional_positions": [[0.500, 0.000, 0.500], [0.000, 0.500, 0.500], [0.500, 0.500, 0.000], [0.000, 0.000, 0.000], [0.500, 0.235, 0.233], [0.500, 0.765, 0.767], [0.000, 0.243, 0.759], [0.000, 0.757, 0.241]], "total_energy_ev_per_atom": -6.6715, "n_ef_per_ev_cell": 1.53, "ef_ev_per_atom": -1.436, "spacegroup": "P2/m (10)", "density_g_cm3": 6.93}

(11)
{"formula": "AcMg3Ni", "functional": "PBE", "state": "optimized geometry", "cell": [[-1.955, 4.528, -0.670], [-3.534, -1.030, 3.350], [2.909, 1.792, 3.619]], "species": ["Ni", "Ac", "Mg", "Mg", "Mg"], "fractional_positions": [[0.000, 0.000, 0.000], [0.500, 0.500, 0.500], [0.000, 0.500, 0.000], [0.000, 0.000, 0.500], [0.500, 0.000, 0.000]], "total_energy_ev_per_atom": -3.0142, "n_ef_per_ev_cell": 5.38, "relative_energy_mev_per_atom": 65, "ef_ev_per_atom": -0.079, "spacegroup": "Pm-3m (221)", "density_g_cm3": 4.83}

(12)
{"formula": "Ba2TcSb", "functional": "PBE", "state": "optimized geometry", "cell": [[-1.433, -2.208, 5.454], [5.796, 1.680, 0.521], [-1.066, 3.346, 1.075]], "species": ["Ba", "Ba", "Sb", "Tc"], "fractional_positions": [[0.000, 0.000, 0.000], [0.500, 0.500, 0.000], [0.500, 0.000, 0.500], [0.000, 0.500, 0.500]], "formation_energy_uncorrected_ev_per_atom": 0.3293, "total_energy_ev_per_atom": -4.2541, "n_ef_per_ev_cell": 3.02, "spacegroup": "Cmmm (65)", "density_g_cm3": 6.29}